The following is a DFT calculation (PBE) of crystalline PuVPt at its relaxed geometry.

Output
As for the total energy: -9.9291 eV per atom. The formation energy comes out at -99 meV per atom. The value obtained for the magnetic moment is 3.1 μB/f.u.

Cell: 2.894 4.706 4.706 Å, 120.00 90.00 90.00°
Each line ends with the local moment (μB).
Element x y z (fractional)
1 Pt 0.167 0.000 0.000  0.00
2 V 0.167 0.333 0.667  -1.77
3 Pu 0.667 0.667 0.333  5.00